## RbCo3Sb (GGA-PBEsol)

Data for crystalline RbCo3Sb at its relaxed geometry.

Unit cell a=4.5371 b=4.5371 c=4.5371 alpha=90.00 beta=90.00 gamma=90.00
Space group Pm-3m (No. 221)
Unique sites:
1 Rb 0.0000 0.0000 0.0000 (multiplicity 1)
2 Co 0.0000 0.0000 0.5000 (multiplicity 3)
3 Sb 0.5000 0.5000 0.5000 (multiplicity 1)

Its crystal system is cubic.

## RbCoSb2Te (GGA-PBEsol)

Data for crystalline RbCoSb2Te at its relaxed geometry.

Unit cell a=5.8052 b=5.8052 c=5.9196 alpha=90.00 beta=90.00 gamma=90.00
Space group P4/mmm (No. 123)
Unique sites:
1 Rb 0.0000 0.0000 0.0000 (multiplicity 1)
2 Co 0.5000 0.5000 0.5000 (multiplicity 1)
3 Sb 0.0000 0.5000 0.0000 (multiplicity 2)
4 Te 0.0000 0.0000 0.5000 (multiplicity 1)

Its crystal system is tetragonal.

## Rb3CoSe (GGA-PBEsol)

Data for crystalline Rb3CoSe at its relaxed geometry.

Unit cell a=6.4704 b=6.4704 c=6.4704 alpha=90.00 beta=90.00 gamma=90.00
Space group Pm-3m (No. 221)
Unique sites:
1 Rb 0.0000 0.0000 0.5000 (multiplicity 3)
2 Co 0.5000 0.5000 0.5000 (multiplicity 1)
3 Se 0.0000 0.0000 0.0000 (multiplicity 1)

Its crystal system is cubic.

Number 1: formation energy (no corrections) 2343.4 meV per atom, V 18.68 Å³ per atom, size of the total moment 3.6 μB per formula unit. Number 2: formation energy (no corrections) 2048.5 meV per atom, V 39.90 Å³ per atom, size of the total moment 2.7 μB per formula unit. Number 3: formation energy (no corrections) 235.4 meV per atom, V 54.18 Å³ per atom, size of the total moment 2.0 μB per formula unit.